(1)
Material: La4RuRh
Method: DFT, GGA-PBE
State: relaxed

The structure in POSCAR format:
```
La4RuRh
1.0
8.056 0.000 0.000
0.000 6.696 0.000
-3.537 0.000 7.247
La Ru Rh
8 2 2
direct
0.162 0.234 0.330 La
0.162 0.266 0.830 La
0.332 0.720 0.658 La
0.332 0.780 0.158 La
0.668 0.220 0.842 La
0.668 0.280 0.342 La
0.838 0.734 0.170 La
0.838 0.766 0.670 La
0.000 0.000 0.000 Ru
0.000 0.500 0.500 Ru
0.500 0.000 0.500 Rh
0.500 0.500 0.000 Rh
```

Output
Volume, A^3/atom: 32.6
E above lowest polymorph, meV/atom: 0
E_form, eV per atom: -0.427
Total energy, eV/atom: -6.484
DOS at the Fermi energy, states/eV per cell: 7.9
Crystal system: monoclinic
M_tot, μB per atom: 0.0000


(2)
Material: LaRu2Rh
Method: DFT, GGA-PBE
State: relaxed

The structure in POSCAR format:
```
LaRu2Rh
1.0
2.853 0.000 0.000
-1.427 2.471 0.000
0.000 0.000 29.219
La Ru Rh
3 6 3
direct
0.000 0.000 0.000 La
0.333 0.667 0.667 La
0.667 0.333 0.333 La
0.000 0.000 0.239 Ru
0.000 0.000 0.761 Ru
0.333 0.667 0.427 Ru
0.333 0.667 0.906 Ru
0.667 0.333 0.094 Ru
0.667 0.333 0.573 Ru
0.000 0.000 0.500 Rh
0.333 0.667 0.167 Rh
0.667 0.333 0.833 Rh
```

Output
Volume, A^3/atom: 17.2
E_form, eV per atom: 0.573
Total energy, eV/atom: -7.135
DOS at the Fermi energy, states/eV per cell: 20.8
Crystal system: trigonal
M_tot, μB per atom: 0.0328


(3)
Material: LaRu2Rh
Method: DFT, GGA-PBE
State: relaxed

The structure in POSCAR format:
```
LaRu2Rh
1.0
5.775 0.000 0.000
0.000 8.147 0.000
0.000 0.000 2.953
La Ru Rh
2 4 2
direct
0.000 0.000 0.000 La
0.500 0.500 0.000 La
0.250 0.250 0.500 Ru
0.250 0.750 0.500 Ru
0.750 0.250 0.500 Ru
0.750 0.750 0.500 Ru
0.000 0.500 0.000 Rh
0.500 0.000 0.000 Rh
```

Output
Volume, A^3/atom: 17.4
E_form, eV per atom: 0.239
Total energy, eV/atom: -7.468
DOS at the Fermi energy, states/eV per cell: 11.7
Crystal system: orthorhombic
M_tot, μB per atom: 0.0000


(4)
Material: LaRu2Rh
Method: DFT, GGA-PBE
State: relaxed

The structure in POSCAR format:
```
LaRu2Rh
1.0
2.938 0.000 0.000
0.000 4.750 0.000
0.000 0.000 10.213
La Ru Rh
2 4 2
direct
0.000 0.000 0.000 La
0.500 0.500 0.500 La
0.000 0.500 0.224 Ru
0.000 0.500 0.776 Ru
0.500 0.000 0.276 Ru
0.500 0.000 0.724 Ru
0.000 0.000 0.500 Rh
0.500 0.500 0.000 Rh
```

Output
Volume, A^3/atom: 17.8
E_form, eV per atom: 0.203
Total energy, eV/atom: -7.504
DOS at the Fermi energy, states/eV per cell: 10.1
Crystal system: orthorhombic
M_tot, μB per atom: 0.0000


(5)
Material: La3RuRh
Method: DFT, GGA-PBE
State: relaxed

The structure in POSCAR format:
```
La3RuRh
1.0
8.848 0.000 0.000
0.000 7.571 0.000
-2.325 0.000 8.167
La Ru Rh
12 4 4
direct
0.044 0.008 0.220 La
0.044 0.492 0.720 La
0.291 0.665 0.104 La
0.291 0.835 0.604 La
0.350 0.199 0.014 La
0.350 0.301 0.514 La
0.650 0.699 0.486 La
0.650 0.801 0.986 La
0.709 0.165 0.396 La
0.709 0.335 0.896 La
0.956 0.508 0.280 La
0.956 0.992 0.780 La
0.045 0.192 0.510 Ru
0.045 0.308 0.010 Ru
0.955 0.692 0.990 Ru
0.955 0.808 0.490 Ru
0.408 0.531 0.814 Rh
0.408 0.969 0.314 Rh
0.592 0.031 0.686 Rh
0.592 0.469 0.186 Rh
```

Output
Volume, A^3/atom: 27.4
E above lowest polymorph, meV/atom: 0
E_form, eV per atom: -0.458
Total energy, eV/atom: -6.739
DOS at the Fermi energy, states/eV per cell: 13.4
Crystal system: monoclinic
M_tot, μB per atom: 0.0000


(6)
Material: La5RuRh
Method: DFT, GGA-PBE
State: relaxed

The structure in POSCAR format:
```
La5RuRh
1.0
6.305 0.000 0.000
-1.475 7.206 0.000
-2.864 -1.213 9.815
La Ru Rh
10 2 2
direct
0.000 0.000 0.000 La
0.045 0.489 0.910 La
0.202 0.021 0.416 La
0.248 0.511 0.327 La
0.387 0.618 0.699 La
0.488 0.138 0.811 La
0.596 0.979 0.219 La
0.652 0.531 0.107 La
0.760 0.373 0.516 La
0.862 0.893 0.628 La
0.123 0.755 0.163 Ru
0.124 0.256 0.663 Ru
0.393 0.816 0.948 Rh
0.853 0.695 0.378 Rh
```

Output
Volume, A^3/atom: 31.9
E_form, eV per atom: -0.303
Total energy, eV/atom: -6.197
DOS at the Fermi energy, states/eV per cell: 14.4
Crystal system: triclinic
M_tot, μB per atom: 0.0000


(7)
Material: La2RuRh
Method: DFT, GGA-PBE
State: relaxed

The structure in POSCAR format:
```
La2RuRh
1.0
4.107 0.000 0.000
0.000 4.107 0.000
0.000 0.000 10.771
La Ru Rh
4 2 2
direct
0.000 0.000 0.000 La
0.000 0.500 0.250 La
0.500 0.000 0.750 La
0.500 0.500 0.500 La
0.000 0.000 0.500 Ru
0.500 0.500 0.000 Ru
0.000 0.500 0.750 Rh
0.500 0.000 0.250 Rh
```

Output
Volume, A^3/atom: 22.7
E_form, eV per atom: -0.209
Total energy, eV/atom: -6.829
DOS at the Fermi energy, states/eV per cell: 9.6
Crystal system: tetragonal
M_tot, μB per atom: 0.0000


(8)
Material: LaRuRh
Method: DFT, GGA-PBE
State: relaxed

The structure in POSCAR format:
```
LaRuRh
1.0
3.066 0.000 0.000
0.000 4.006 0.000
0.000 0.000 9.784
La Ru Rh
2 2 2
direct
0.000 0.000 0.000 La
0.500 0.500 0.500 La
0.000 0.000 0.288 Ru
0.500 0.500 0.788 Ru
0.000 0.000 0.709 Rh
0.500 0.500 0.209 Rh
```

Output
Volume, A^3/atom: 20.0
E above lowest polymorph, meV/atom: 163
E_form, eV per atom: -0.031
Total energy, eV/atom: -7.216
DOS at the Fermi energy, states/eV per cell: 5.0
Crystal system: orthorhombic
M_tot, μB per atom: 0.0013


(9)
Material: LaRu2Rh
Method: DFT, GGA-PBE
State: relaxed

The structure in POSCAR format:
```
LaRu2Rh
1.0
5.486 0.000 0.000
0.000 9.717 0.000
-1.309 0.000 2.633
La Ru Rh
2 4 2
direct
0.000 0.000 0.000 La
0.500 0.500 0.000 La
0.250 0.250 0.500 Ru
0.250 0.750 0.500 Ru
0.750 0.250 0.500 Ru
0.750 0.750 0.500 Ru
0.000 0.500 0.000 Rh
0.500 0.000 0.000 Rh
```

Output
Volume, A^3/atom: 17.5
E_form, eV per atom: 0.252
Total energy, eV/atom: -7.456
DOS at the Fermi energy, states/eV per cell: 11.9
Crystal system: monoclinic
M_tot, μB per atom: 0.0001


(10)
Material: LaRu2Rh2
Method: DFT, GGA-PBE
State: relaxed

The structure in POSCAR format:
```
LaRu2Rh2
1.0
4.175 0.000 0.000
0.000 4.175 0.000
0.000 0.000 10.766
La Ru Rh
2 4 4
direct
0.000 0.000 0.000 La
0.500 0.500 0.500 La
0.000 0.000 0.394 Ru
0.000 0.000 0.606 Ru
0.500 0.500 0.106 Ru
0.500 0.500 0.894 Ru
0.000 0.500 0.250 Rh
0.000 0.500 0.750 Rh
0.500 0.000 0.250 Rh
0.500 0.000 0.750 Rh
```

Output
Volume, A^3/atom: 18.8
E above lowest polymorph, meV/atom: 0
E_form, eV per atom: -0.069
Total energy, eV/atom: -7.706
DOS at the Fermi energy, states/eV per cell: 10.9
Crystal system: tetragonal
M_tot, μB per atom: 0.0000


(11)
Material: LaRu2Rh
Method: DFT, GGA-PBE
State: relaxed

The structure in POSCAR format:
```
LaRu2Rh
1.0
2.964 0.000 0.000
0.000 4.472 0.000
-1.020 0.000 5.411
La Ru Rh
1 2 1
direct
0.000 0.000 0.000 La
0.214 0.500 0.635 Ru
0.584 0.000 0.516 Ru
0.558 0.500 0.225 Rh
```

Output
Volume, A^3/atom: 17.9
E_form, eV per atom: 0.110
Total energy, eV/atom: -7.598
DOS at the Fermi energy, states/eV per cell: 4.7
Crystal system: monoclinic
M_tot, μB per atom: 0.0001


(12)
Material: LaRu2Rh
Method: DFT, GGA-PBE
State: relaxed

The structure in POSCAR format:
```
LaRu2Rh
1.0
6.627 0.000 0.000
0.000 6.627 0.000
0.000 0.000 6.627
La Ru Rh
4 8 4
direct
0.000 0.000 0.000 La
0.000 0.500 0.500 La
0.500 0.000 0.500 La
0.500 0.500 0.000 La
0.000 0.000 0.500 Ru
0.000 0.500 0.000 Ru
0.250 0.250 0.250 Ru
0.250 0.750 0.750 Ru
0.500 0.000 0.000 Ru
0.500 0.500 0.500 Ru
0.750 0.250 0.750 Ru
0.750 0.750 0.250 Ru
0.250 0.250 0.750 Rh
0.250 0.750 0.250 Rh
0.750 0.250 0.250 Rh
0.750 0.750 0.750 Rh
```

Output
Volume, A^3/atom: 18.2
E_form, eV per atom: 0.235
Total energy, eV/atom: -7.473
DOS at the Fermi energy, states/eV per cell: 20.7
Crystal system: cubic
M_tot, μB per atom: 0.8788


(13)
Material: La2Ru2Rh
Method: DFT, GGA-PBE
State: relaxed

The structure in POSCAR format:
```
La2Ru2Rh
1.0
7.034 0.000 0.000
0.000 7.034 0.000
0.000 0.000 4.323
La Ru Rh
4 4 2
direct
0.192 0.308 0.000 La
0.308 0.808 0.000 La
0.692 0.192 0.000 La
0.808 0.692 0.000 La
0.126 0.626 0.500 Ru
0.374 0.126 0.500 Ru
0.626 0.874 0.500 Ru
0.874 0.374 0.500 Ru
0.000 0.000 0.500 Rh
0.500 0.500 0.500 Rh
```

Output
Volume, A^3/atom: 21.4
E_form, eV per atom: -0.163
Total energy, eV/atom: -7.315
DOS at the Fermi energy, states/eV per cell: 11.6
Crystal system: tetragonal
M_tot, μB per atom: 0.0000


(14)
Material: La8RuRh3
Method: DFT, GGA-PBE
State: relaxed

The structure in POSCAR format:
```
La8RuRh3
1.0
4.045 -5.933 0.000
4.045 5.933 0.000
0.000 0.000 8.279
La Ru Rh
8 1 3
direct
0.236 0.249 0.246 La
0.238 0.762 0.000 La
0.241 0.759 0.500 La
0.249 0.236 0.754 La
0.751 0.764 0.754 La
0.759 0.241 0.500 La
0.762 0.238 0.000 La
0.764 0.751 0.246 La
0.000 0.000 0.000 Ru
0.000 0.000 0.500 Rh
0.000 0.500 0.254 Rh
0.500 0.000 0.746 Rh
```

Output
Volume, A^3/atom: 33.1
E_form, eV per atom: -0.489
Total energy, eV/atom: -6.385
DOS at the Fermi energy, states/eV per cell: 9.4
Crystal system: orthorhombic
M_tot, μB per atom: 0.0000


(15)
Material: LaRuRh
Method: DFT, GGA-PBE
State: relaxed

The structure in POSCAR format:
```
LaRuRh
1.0
8.831 0.000 0.000
0.000 5.656 0.000
-1.456 0.000 4.787
La Ru Rh
4 4 4
direct
0.132 0.000 0.358 La
0.368 0.500 0.642 La
0.632 0.500 0.358 La
0.868 0.000 0.642 La
0.010 0.500 0.265 Ru
0.490 0.000 0.735 Ru
0.510 0.000 0.265 Ru
0.990 0.500 0.735 Ru
0.250 0.250 0.000 Rh
0.250 0.750 0.000 Rh
0.750 0.250 0.000 Rh
0.750 0.750 0.000 Rh
```

Output
Volume, A^3/atom: 19.9
E above lowest polymorph, meV/atom: 0
E_form, eV per atom: -0.194
Total energy, eV/atom: -7.378
DOS at the Fermi energy, states/eV per cell: 7.9
Crystal system: monoclinic
M_tot, μB per atom: 0.0000


(16)
Material: La2RuRh
Method: DFT, GGA-PBE
State: relaxed

The structure in POSCAR format:
```
La2RuRh
1.0
4.019 0.000 0.000
0.000 3.978 0.000
0.000 0.000 11.726
La Ru Rh
4 2 2
direct
0.000 0.000 0.000 La
0.000 0.500 0.500 La
0.500 0.000 0.279 La
0.500 0.500 0.779 La
0.000 0.000 0.727 Ru
0.000 0.500 0.227 Ru
0.500 0.000 0.558 Rh
0.500 0.500 0.058 Rh
```

Output
Volume, A^3/atom: 23.4
E_form, eV per atom: -0.399
Total energy, eV/atom: -7.019
DOS at the Fermi energy, states/eV per cell: 7.3
Crystal system: orthorhombic
M_tot, μB per atom: 0.0001


(17)
Material: La8Ru2Rh
Method: DFT, GGA-PBE
State: relaxed

The structure in POSCAR format:
```
La8Ru2Rh
1.0
6.679 -3.625 0.000
6.679 3.625 0.000
-0.214 0.000 7.608
La Ru Rh
8 2 1
direct
0.207 0.207 0.880 La
0.215 0.714 0.728 La
0.286 0.785 0.272 La
0.289 0.289 0.396 La
0.711 0.711 0.604 La
0.714 0.215 0.728 La
0.785 0.286 0.272 La
0.793 0.793 0.120 La
0.120 0.120 0.559 Ru
0.880 0.880 0.441 Ru
0.000 0.000 0.000 Rh
```

Output
Volume, A^3/atom: 33.5
E_form, eV per atom: -0.237
Total energy, eV/atom: -6.176
DOS at the Fermi energy, states/eV per cell: 14.4
Crystal system: monoclinic
M_tot, μB per atom: 0.0002


(18)
Material: LaRu2Rh
Method: DFT, GGA-PBE
State: relaxed

The structure in POSCAR format:
```
LaRu2Rh
1.0
6.600 0.000 0.000
0.000 6.600 0.000
0.000 0.000 6.600
La Ru Rh
4 8 4
direct
0.000 0.000 0.000 La
0.000 0.500 0.500 La
0.500 0.000 0.500 La
0.500 0.500 0.000 La
0.250 0.250 0.250 Ru
0.250 0.250 0.750 Ru
0.250 0.750 0.250 Ru
0.250 0.750 0.750 Ru
0.750 0.250 0.250 Ru
0.750 0.250 0.750 Ru
0.750 0.750 0.250 Ru
0.750 0.750 0.750 Ru
0.000 0.000 0.500 Rh
0.000 0.500 0.000 Rh
0.500 0.000 0.000 Rh
0.500 0.500 0.500 Rh
```

Output
Volume, A^3/atom: 18.0
E_form, eV per atom: 0.299
Total energy, eV/atom: -7.408
DOS at the Fermi energy, states/eV per cell: 20.0
Crystal system: cubic
M_tot, μB per atom: 0.9302


(19)
Material: LaRu2Rh2
Method: DFT, GGA-PBE
State: relaxed

The structure in POSCAR format:
```
LaRu2Rh2
1.0
7.737 0.000 0.000
0.000 7.737 0.000
0.000 0.000 2.840
La Ru Rh
2 4 4
direct
0.000 0.000 0.000 La
0.500 0.500 0.000 La
0.175 0.325 0.500 Ru
0.325 0.825 0.500 Ru
0.675 0.175 0.500 Ru
0.825 0.675 0.500 Ru
0.120 0.620 0.000 Rh
0.380 0.120 0.000 Rh
0.620 0.880 0.000 Rh
0.880 0.380 0.000 Rh
```

Output
Volume, A^3/atom: 17.0
E above lowest polymorph, meV/atom: 117
E_form, eV per atom: 0.048
Total energy, eV/atom: -7.588
DOS at the Fermi energy, states/eV per cell: 12.6
Crystal system: tetragonal
M_tot, μB per atom: 0.0000


(20)
Material: LaRu2Rh
Method: DFT, GGA-PBE
State: relaxed

The structure in POSCAR format:
```
LaRu2Rh
1.0
3.016 0.000 0.000
0.000 3.016 0.000
0.000 0.000 7.811
La Ru Rh
1 2 1
direct
0.000 0.000 0.000 La
0.500 0.500 0.298 Ru
0.500 0.500 0.702 Ru
0.000 0.000 0.500 Rh
```

Output
Volume, A^3/atom: 17.8
E_form, eV per atom: 0.287
Total energy, eV/atom: -7.420
DOS at the Fermi energy, states/eV per cell: 3.4
Crystal system: tetragonal
M_tot, μB per atom: 0.0001